[1]
DFT (PBE-GGA) results for a relaxed structure of ZrSc2Be.

Structure (POSCAR):
```
ZrSc2Be
1.0
5.125 0.031 -0.014
-1.276 4.964 -0.014
0.015 0.020 3.194
Sc Be Zr
2 1 1
direct
0.000 0.000 0.000 Sc
0.500 0.500 0.000 Sc
0.000 0.500 0.500 Be
0.500 0.000 0.500 Zr
```

Properties
Calculated formation energy in eV/f.u.: 1.02


[2]
DFT (PBE-GGA) results for a relaxed structure of Ce7Ge5Pt.

Structure (POSCAR):
```
Ce7Ge5Pt
1.0
6.232 0.000 0.000
3.116 7.345 -0.303
3.116 -0.327 7.344
Ce Ge Pt
7 5 1
direct
0.692 0.308 0.308 Ce
0.248 0.752 0.752 Ce
0.970 0.322 0.739 Ce
0.970 0.739 0.322 Ce
0.328 0.172 0.172 Ce
0.535 0.802 0.129 Ce
0.535 0.129 0.802 Ce
0.452 0.021 0.492 Ge
0.034 0.021 0.492 Ge
0.452 0.492 0.021 Ge
0.034 0.492 0.021 Ge
0.781 0.719 0.719 Ge
0.968 0.032 0.032 Pt
```

Properties
Calculated formation energy in eV/f.u.: -7.13


[3]
DFT (PBE-GGA) results for a relaxed structure of CrReRh2.

Structure (POSCAR):
```
CrReRh2
1.0
4.691 -0.012 0.000
1.658 4.389 0.000
-3.175 -2.188 2.673
Re Rh Cr
1 2 1
direct
0.750 0.250 0.500 Re
0.000 0.000 0.000 Rh
0.500 0.500 0.000 Rh
0.250 0.750 0.500 Cr
```

Properties
Offset from the most stable computed form in eV/atom: 0.067
Calculated formation energy in eV/f.u.: -0.26


[4]
DFT (PBE-GGA) results for a relaxed structure of Mn2SiNi.

Structure (POSCAR):
```
Mn2SiNi
1.0
-0.543 0.982 2.335
0.952 -2.134 1.119
6.149 2.862 0.227
Mn Ni Si
2 1 1
direct
0.000 0.000 0.993 Mn
0.000 0.000 0.507 Mn
0.500 0.500 0.250 Ni
0.500 0.500 0.750 Si
```

Properties
Formation energy (no corrections) in eV/atom: -0.144


[5]
DFT (PBE-GGA) results for a relaxed structure of PmHo2UAs4.

Structure (POSCAR):
```
PmHo2UAs4
1.0
4.116 0.000 0.000
0.000 7.151 0.141
0.000 -2.483 6.703
Pm Ho U As
1 2 1 4
direct
0.500 0.500 0.000 Pm
0.500 0.000 0.500 Ho
0.000 0.500 0.500 Ho
0.000 0.000 0.000 U
0.500 0.246 0.252 As
0.500 0.754 0.748 As
0.000 0.241 0.747 As
0.000 0.759 0.253 As
```

Properties
Calculated formation energy in eV/f.u.: -10.55


[6]
DFT (PBE-GGA) results for a relaxed structure of Ca2ScMo.

Structure (POSCAR):
```
Ca2ScMo
1.0
3.614 0.000 0.000
0.000 3.614 0.000
0.000 0.000 8.492
Sc Mo Ca
1 1 2
direct
0.500 0.500 0.680 Sc
0.000 0.000 0.558 Mo
0.000 0.000 0.951 Ca
0.500 0.500 0.311 Ca
```

Properties
Offset from the most stable computed form in eV/atom: 0.000
Calculated formation energy in eV/f.u.: 1.36


[7]
DFT (PBE-GGA) results for a relaxed structure of AlCu2Pd5.

Structure (POSCAR):
```
AlCu2Pd5
1.0
6.419 0.000 0.000
0.000 6.419 0.000
-3.209 -3.209 5.698
Al Cu Pd
2 4 10
direct
0.750 0.750 0.500 Al
0.250 0.250 0.500 Al
0.135 0.365 0.000 Cu
0.635 0.135 0.000 Cu
0.365 0.865 0.000 Cu
0.865 0.635 0.000 Cu
0.499 0.686 0.685 Pd
0.814 0.001 0.315 Pd
0.000 0.000 0.000 Pd
0.500 0.500 0.000 Pd
0.186 0.999 0.685 Pd
0.686 0.186 0.685 Pd
0.999 0.499 0.685 Pd
0.314 0.814 0.315 Pd
0.001 0.501 0.315 Pd
0.501 0.314 0.315 Pd
```

Properties
Offset from the most stable computed form in eV/atom: 0.104
Calculated formation energy in eV/f.u.: -2.32


[8]
DFT (PBE-GGA) results for a relaxed structure of Au2SeI6.

Structure (POSCAR):
```
Au2SeI6
1.0
8.573 0.178 0.172
2.745 9.738 0.014
2.745 0.330 9.733
Au Se I
4 2 12
direct
0.217 0.689 0.745 Au
0.283 0.255 0.311 Au
0.783 0.311 0.255 Au
0.717 0.745 0.689 Au
0.250 0.095 0.905 Se
0.750 0.905 0.095 Se
0.581 0.562 0.640 I
0.919 0.360 0.438 I
0.419 0.438 0.360 I
0.081 0.640 0.562 I
0.738 0.915 0.354 I
0.762 0.646 0.085 I
0.262 0.085 0.646 I
0.238 0.354 0.915 I
0.224 0.790 0.968 I
0.276 0.032 0.210 I
0.776 0.210 0.032 I
0.724 0.968 0.790 I
```

Properties
Formation energy (no corrections) in eV/atom: 0.042


[9]
DFT (PBE-GGA) results for a relaxed structure of MgZn2Cd.

Structure (POSCAR):
```
MgZn2Cd
1.0
-2.735 -1.317 -4.047
-2.820 -3.975 1.358
0.578 4.507 2.225
Zn Mg Cd
2 1 1
direct
0.000 0.000 0.000 Zn
0.500 0.500 0.000 Zn
0.750 0.250 0.500 Mg
0.250 0.750 0.500 Cd
```

Properties
Offset from the most stable computed form in eV/atom: 0.025
Calculated formation energy in eV/f.u.: -0.03


[10]
DFT (PBE-GGA) results for a relaxed structure of ZnHgMo2.

Structure (POSCAR):
```
ZnHgMo2
1.0
1.766 -3.853 1.628
-2.395 -3.853 -0.189
1.245 -3.309 -2.849
Zn Mo Hg
1 2 1
direct
0.000 0.000 0.000 Zn
0.250 0.250 0.250 Mo
0.750 0.750 0.750 Mo
0.500 0.500 0.500 Hg
```

Properties
Offset from the most stable computed form in eV/atom: 0.411
Calculated formation energy in eV/f.u.: 2.72


[11]
DFT (PBE-GGA) results for a relaxed structure of VNi2Ir.

Structure (POSCAR):
```
VNi2Ir
1.0
-0.196 -2.246 3.756
1.384 -3.434 -1.981
4.122 -0.766 -0.243
V Ni Ir
1 2 1
direct
0.000 0.000 0.000 V
0.500 0.000 0.000 Ni
0.500 0.333 0.333 Ni
0.500 0.667 0.667 Ir
```

Properties
Calculated formation energy in eV/f.u.: 3.04


[12]
DFT (PBE-GGA) results for a relaxed structure of Al4AgF12.

Structure (POSCAR):
```
Al4AgF12
1.0
-2.788 2.049 -5.438
-2.896 -5.401 1.996
-0.555 4.540 4.541
Al Ag F
4 1 12
direct
0.500 0.000 0.000 Al
0.000 0.500 0.000 Al
0.000 0.000 0.500 Al
0.500 0.500 0.500 Al
0.000 0.500 0.500 Ag
0.257 0.756 0.012 F
0.001 0.757 0.244 F
0.512 0.757 0.756 F
0.256 0.012 0.756 F
0.744 0.501 0.756 F
0.257 0.244 0.501 F
0.743 0.756 0.499 F
0.744 0.988 0.244 F
0.256 0.499 0.244 F
0.488 0.243 0.244 F
0.999 0.243 0.756 F
0.743 0.244 0.988 F
```

Properties
Formation energy (no corrections) in eV/atom: -3.065


no.,uncorrected energy (eV per cell)
1,-23.913
2,-77.797
3,-37.037
4,-30.118
5,-54.344
6,-19.802
7,-80.444
8,-37.920
9,-5.092
10,-20.520
11,-26.505
12,-92.378